#A
VASP calculation (PBE) on a relaxed structure of DyHo8Tm6.

**Space group**: C2/m (12)
**Fermi-level density of states**: 21.59 states/eV/f.u.

Cell lengths 3.5276, 15.3914, 19.1903 Å; angles 142.08, 49.94, 110.13 degrees
Closest atoms and distances in Å follow each position.
Fractional positions:
Ho  0.7168  0.8119  0.4290  5 Tm 3.42-3.58, 6 Ho 3.50-3.58
Tm  0.0116  0.5587  0.3789  8 Ho 3.44-3.58, 4 Tm 3.50-3.53
Tm  0.1924  0.2494  0.0520  5 Tm 3.43-3.53, 5 Ho 3.45-3.51, 2 Dy 3.51
Ho  0.6934  0.6917  0.6699  5 Tm 3.45-3.55, 5 Ho 3.46-3.56, 2 Dy 3.51-3.52
Ho  0.3066  0.3083  0.3301  5 Tm 3.45-3.55, 5 Ho 3.46-3.56, 2 Dy 3.51-3.52
Ho  0.9031  0.4899  0.0950  6 Tm 3.35-3.48, 6 Ho 3.50-3.58
Dy  0.5000  0.0000  0.0000  6 Ho 3.49-3.52, 4 Tm 3.51, 2 Dy 3.53
Tm  0.8076  0.7506  0.9480  5 Tm 3.43-3.53, 5 Ho 3.45-3.51, 2 Dy 3.51
Ho  0.3912  0.9446  0.7217  5 Tm 3.43-3.51, 1 Dy 3.49, 6 Ho 3.50-3.56
Tm  0.0747  0.1872  0.7732  8 Ho 3.35-3.46, 3 Tm 3.43-3.53
Tm  0.9253  0.8128  0.2268  8 Ho 3.35-3.46, 3 Tm 3.43-3.53
Ho  0.0969  0.5101  0.9050  6 Tm 3.35-3.48, 6 Ho 3.50-3.58
Ho  0.2832  0.1881  0.5710  5 Tm 3.42-3.58, 6 Ho 3.50-3.58
Tm  0.9884  0.4413  0.6211  8 Ho 3.44-3.58, 4 Tm 3.50-3.53
Ho  0.6088  0.0554  0.2783  5 Tm 3.43-3.51, 1 Dy 3.49, 6 Ho 3.50-3.56



#B
VASP calculation (PBE) on a relaxed structure of DyHo8Tm6.

**Space group**: R-3 (148)
**Fermi-level density of states**: 23.41 states/eV/f.u.

Cell lengths 8.9054, 8.9054, 8.5073 Å; angles 58.44, 58.44, 60.00 degrees
Closest atoms and distances in Å follow each position.
Fractional positions:
Ho  0.2558  0.2798  0.5742  5 Ho 3.36-3.37, 3 Tm 3.36-3.70, 1 Dy 3.48
Ho  0.1098  0.7442  0.4258  5 Ho 3.36-3.37, 3 Tm 3.36-3.70, 1 Dy 3.48
Ho  0.2798  0.8902  0.5742  5 Ho 3.36-3.37, 3 Tm 3.36-3.70, 1 Dy 3.48
Ho  0.8902  0.2558  0.5742  5 Ho 3.36-3.37, 3 Tm 3.36-3.70, 1 Dy 3.48
Tm  0.4597  0.8910  0.8798  3 Ho 3.31-3.37, 1 Dy 3.38, 4 Tm 3.43-3.66
Tm  0.1090  0.2305  0.1202  3 Ho 3.31-3.37, 1 Dy 3.38, 4 Tm 3.43-3.66
Tm  0.5403  0.1090  0.1202  3 Ho 3.31-3.37, 1 Dy 3.38, 4 Tm 3.43-3.66
Tm  0.8910  0.7695  0.8798  3 Ho 3.31-3.37, 1 Dy 3.38, 4 Tm 3.43-3.66
Tm  0.7695  0.4597  0.8798  3 Ho 3.31-3.37, 1 Dy 3.38, 4 Tm 3.43-3.66
Ho  0.7442  0.7202  0.4258  5 Ho 3.36-3.37, 3 Tm 3.36-3.70, 1 Dy 3.48
Ho  0.7202  0.1098  0.4258  5 Ho 3.36-3.37, 3 Tm 3.36-3.70, 1 Dy 3.48
Dy  0.0000  0.0000  0.0000  6 Tm 3.38, 6 Ho 3.48
Tm  0.2305  0.5403  0.1202  3 Ho 3.31-3.37, 1 Dy 3.38, 4 Tm 3.43-3.66
Ho  0.4234  0.4234  0.7297  4 Ho 3.11-3.37, 3 Tm 3.31
Ho  0.5766  0.5766  0.2703  4 Ho 3.11-3.37, 3 Tm 3.31



The structure with the least stability is #B.



#A
VASP calculation (PBE) on a relaxed structure of Dy2Ho3Tm3.

**Space group**: R32 (155)
**Fermi-level density of states**: 15.21 states/eV/f.u.

Cell lengths 6.3730, 6.3730, 6.3730 Å; angles 94.62, 94.62, 85.38 degrees
Closest atoms and distances in Å follow each position.
Fractional positions:
Ho  0.0000  0.2350  0.2350  2 Tm 3.20, 2 Ho 3.52, 2 Dy 3.53
Ho  0.7650  0.0000  0.7650  2 Tm 3.20, 2 Ho 3.52, 2 Dy 3.53
Tm  0.7331  0.5000  0.7331  2 Ho 3.20, 2 Tm 3.49, 2 Dy 3.54
Tm  0.2669  0.7331  0.5000  2 Ho 3.20, 2 Tm 3.49, 2 Dy 3.54
Dy  0.2500  0.2500  0.7500  6 Ho 3.53-3.60, 6 Tm 3.54-3.59
Ho  0.2350  0.7650  0.0000  2 Tm 3.20, 2 Ho 3.52, 2 Dy 3.53
Dy  0.7500  0.7500  0.2500  6 Ho 3.53-3.60, 6 Tm 3.54-3.59
Tm  0.5000  0.2669  0.2669  2 Ho 3.20, 2 Tm 3.49, 2 Dy 3.54



#B
VASP calculation (PBE) on a relaxed structure of Dy2Ho3Tm3.

**Space group**: Immm (71)
**Fermi-level density of states**: 10.92 states/eV/f.u.

Cell lengths 4.9584, 4.9599, 10.5265 Å; angles 103.62, 103.62, 90.00 degrees
Closest atoms and distances in Å follow each position.
Fractional positions:
Ho  0.3757  0.3757  0.7513  6 Tm 3.50-3.51, 2 Ho 3.50, 4 Dy 3.52
Dy  0.2501  0.7501  0.5002  4 Dy 3.51, 4 Tm 3.51, 4 Ho 3.52
Ho  0.6243  0.6243  0.2487  6 Tm 3.50-3.51, 2 Ho 3.50, 4 Dy 3.52
Ho  0.5000  0.0000  0.0000  4 Ho 3.50, 8 Tm 3.50-3.51
Tm  0.8754  0.8753  0.7507  6 Ho 3.50-3.51, 2 Tm 3.50, 4 Dy 3.51
Tm  0.0000  0.5000  0.0000  8 Ho 3.50-3.51, 4 Tm 3.50
Tm  0.1246  0.1247  0.2493  6 Ho 3.50-3.51, 2 Tm 3.50, 4 Dy 3.51
Dy  0.7499  0.2499  0.4998  4 Dy 3.51, 4 Tm 3.51, 4 Ho 3.52



The structure with the least stability is #A.



#A
VASP calculation (PBE) on a relaxed structure of Dy5Ho3Tm.

**Space group**: C2/m (12)
**Fermi-level density of states**: 12.25 states/eV/f.u.

Cell lengths 9.4115, 9.4115, 11.4904 Å; angles 52.85, 52.85, 74.21 degrees
Closest atoms and distances in Å follow each position.
Fractional positions:
Dy  0.1518  0.6558  0.7469  3 Dy 3.29-3.68, 2 Ho 3.44-3.52
Dy  0.2574  0.7426  0.0000  1 Ho 2.92
Dy  0.7426  0.2574  0.0000  1 Ho 2.92
Ho  0.6594  0.6594  0.3601  2 Ho 3.15-3.35, 4 Dy 3.19-3.52, 1 Tm 3.25
Tm  0.1481  0.1481  0.5999  4 Ho 3.18-3.37, 2 Dy 3.28-3.36
Dy  0.5108  0.5108  0.7658  3 Ho 3.17-3.31, 3 Dy 3.26-3.37, 1 Tm 3.36
Dy  0.1836  0.1836  0.0384  3 Ho 3.10-3.30, 3 Dy 3.26-3.29, 1 Tm 3.28
Dy  0.4892  0.4892  0.2342  3 Ho 3.17-3.31, 3 Dy 3.26-3.37, 1 Tm 3.36
Dy  0.8482  0.3442  0.2531  3 Dy 3.29-3.68, 2 Ho 3.44-3.52
Tm  0.8519  0.8519  0.4001  4 Ho 3.18-3.37, 2 Dy 3.28-3.36
Ho  0.0000  0.0000  0.5000  2 Ho 3.03, 2 Tm 3.18
Dy  0.8164  0.8164  0.9616  3 Ho 3.10-3.30, 3 Dy 3.26-3.29, 1 Tm 3.28
Ho  0.3082  0.3082  0.1817  1 Ho 3.03, 5 Dy 3.17-3.34, 1 Tm 3.37
Ho  0.3406  0.3406  0.6399  2 Ho 3.15-3.35, 4 Dy 3.19-3.52, 1 Tm 3.25
Ho  0.6918  0.6918  0.8183  1 Ho 3.03, 5 Dy 3.17-3.34, 1 Tm 3.37
Ho  0.0000  0.0000  0.0000  4 Dy 2.92-3.10, 2 Tm 3.26
Dy  0.3442  0.8482  0.2531  3 Dy 3.29-3.68, 2 Ho 3.44-3.52
Dy  0.6558  0.1518  0.7469  3 Dy 3.29-3.68, 2 Ho 3.44-3.52



#B
VASP calculation (PBE) on a relaxed structure of Dy5Ho3Tm.

**Space group**: C2/c (15)
**Fermi-level density of states**: 12.69 states/eV/f.u.

Cell lengths 6.2782, 9.5247, 11.3060 Å; angles 110.69, 90.00, 109.24 degrees
Closest atoms and distances in Å follow each position.
Fractional positions:
Dy  0.3489  0.3413  0.8737  4 Dy 3.16-3.46, 1 Tm 3.44, 1 Ho 3.48
Dy  0.5424  0.6633  0.7889  4 Ho 3.33-3.57, 1 Tm 3.38, 2 Dy 3.38-3.46
Ho  0.5319  0.6818  0.4867  6 Dy 3.33-3.67, 2 Ho 3.41-3.47, 1 Tm 3.46
Tm  0.8739  0.0000  0.7500  2 Ho 2.94, 2 Dy 3.01-3.27
Dy  0.8791  0.3367  0.7111  4 Ho 3.33-3.57, 1 Tm 3.38, 2 Dy 3.38-3.46
Dy  0.3940  0.0000  0.7500  2 Tm 3.01-3.27, 2 Dy 3.16
Ho  0.4681  0.3182  0.5133  6 Dy 3.33-3.67, 2 Ho 3.41-3.47, 1 Tm 3.46
Dy  0.9923  0.3413  0.3737  4 Dy 3.16-3.46, 1 Tm 3.44, 1 Ho 3.48
Dy  0.4576  0.3367  0.2111  4 Ho 3.33-3.57, 1 Tm 3.38, 2 Dy 3.38-3.46
Ho  0.1499  0.6818  0.9867  6 Dy 3.33-3.67, 2 Ho 3.41-3.47, 1 Tm 3.46
Ho  0.0000  0.0000  0.0000  2 Tm 2.94
Dy  0.0077  0.6587  0.6263  4 Dy 3.16-3.46, 1 Tm 3.44, 1 Ho 3.48
Dy  0.1209  0.6633  0.2889  4 Ho 3.33-3.57, 1 Tm 3.38, 2 Dy 3.38-3.46
Ho  0.0000  0.0000  0.5000  2 Tm 2.94
Tm  0.1261  0.0000  0.2500  2 Ho 2.94, 2 Dy 3.01-3.27
Ho  0.8501  0.3182  0.0133  6 Dy 3.33-3.67, 2 Ho 3.41-3.47, 1 Tm 3.46
Dy  0.6511  0.6587  0.1263  4 Dy 3.16-3.46, 1 Tm 3.44, 1 Ho 3.48
Dy  0.6060  0.0000  0.2500  2 Tm 3.01-3.27, 2 Dy 3.16



The structure with the least stability is #A.